# 1
The following is a DFT calculation (PBE) of a relaxed structure of Li2TaHg.

Results
Magnetic moment in μB per atom: 0.0002
Energy in eV/f.u.: -14.80
DFT formation energy in kJ per mole of atoms: 28.4

Unit cell a=2.8694 b=4.9848 c=5.0940 alpha=90.00 beta=90.00 gamma=90.00
With the nearest neighbours (Å) after each atom.
Atoms (fractional coordinates):
Li  0.0000  0.0000  0.0000  6 Li 2.87-2.92, 4 Hg 2.88
Li  0.5000  0.0000  0.5000  6 Li 2.87-2.92, 4 Ta 2.88
Ta  0.0000  0.5000  0.5000  2 Ta 2.87, 4 Li 2.88, 4 Hg 2.92
Hg  0.5000  0.5000  0.0000  2 Hg 2.87, 4 Li 2.88, 4 Ta 2.92

---

# 2
The following is a DFT calculation (PBE) of a relaxed structure of LiCd2Hg2.

Results
Magnetic moment in μB per atom: 0.0000
Energy in eV/f.u.: -4.98
DFT formation energy in kJ per mole of atoms: -12.1

Unit cell a=7.3480 b=7.3480 c=6.4352 alpha=109.73 beta=109.73 gamma=42.73
With the nearest neighbours (Å) after each atom.
Atoms (fractional coordinates):
Li  0.0765  0.9235  0.7500  4 Hg 2.87-2.94, 4 Cd 3.05-3.09
Li  0.9235  0.0765  0.2500  4 Hg 2.87-2.94, 4 Cd 3.05-3.09
Cd  0.3293  0.4729  0.0453  4 Hg 2.99-3.27, 4 Cd 3.02-3.31, 3 Li 3.05-3.29
Cd  0.4729  0.3293  0.5453  4 Hg 2.99-3.27, 4 Cd 3.02-3.31, 3 Li 3.05-3.29
Cd  0.5271  0.6707  0.4547  4 Hg 2.99-3.27, 4 Cd 3.02-3.31, 3 Li 3.05-3.29
Cd  0.6707  0.5271  0.9547  4 Hg 2.99-3.27, 4 Cd 3.02-3.31, 3 Li 3.05-3.29
Hg  0.1157  0.2529  0.6470  2 Li 2.87-2.94, 3 Cd 2.99-3.14
Hg  0.2529  0.1157  0.1470  2 Li 2.87-2.94, 3 Cd 2.99-3.14
Hg  0.7471  0.8843  0.8530  2 Li 2.87-2.94, 3 Cd 2.99-3.14
Hg  0.8843  0.7471  0.3530  2 Li 2.87-2.94, 3 Cd 2.99-3.14

---

# 3
The following is a DFT calculation (PBE) of a relaxed structure of LiPCl2.

Results
Magnetic moment in μB per atom: 0.0000
Energy relative to the elements, uncorrected in meV per atom: -412
Energy in eV/f.u.: -12.66

Unit cell a=4.8726 b=4.8726 c=3.5508 alpha=90.00 beta=90.00 gamma=94.53
With the nearest neighbours (Å) after each atom.
Atoms (fractional coordinates):
Li  0.0000  0.0000  0.0000  4 Cl 2.54
P  0.5000  0.5000  0.0000  4 Cl 2.50
Cl  0.2543  0.7457  0.5000  2 P 2.50, 2 Li 2.54
Cl  0.7457  0.2543  0.5000  2 P 2.50, 2 Li 2.54

---

- What is the formula in the third record?
  LiPCl2

---

- Among the records above, which one has the highest energy?
  LiCd2Hg2

---

- Which formula does entry 2 have?
  LiCd2Hg2